This record from the Alexandria database describes an optimized crystal structure of Hf3AuN. The functional is GGA-PBEsol.

Structure (POSCAR):
```
Hf3AuN
1.0
4.3514 0.0000 0.0000
0.0000 4.3514 0.0000
0.0000 0.0000 4.3514
Au Hf N
1 3 1
direct
0.5000 0.5000 0.5000
0.0000 0.5000 0.0000
0.0000 0.0000 0.5000
0.5000 0.0000 0.0000
0.0000 0.0000 0.0000
```

Values from the calculation:
- DOS at the Fermi energy (states/eV/atom) = 0.5272
- total magnetic moment (μB/cell) = 0.0
- energy (eV per atom) = -9.857
- formation energy (no corrections) (eV/atom) = -1.065

---

This record from the Alexandria database describes an optimized crystal structure of BeAl2Cu. The functional is GGA-PBEsol.

Structure (POSCAR):
```
BeAl2Cu
1.0
-1.8315 0.3287 2.3195
1.7743 -2.8589 1.8061
3.7846 2.7832 0.6877
Be Al Cu
1 2 1
direct
0.6984 0.0000 0.3968
0.9687 0.0000 0.9374
0.2851 0.5000 0.5702
0.5596 0.5000 0.1193
```

Values from the calculation:
- DOS at the Fermi energy (states/eV/atom) = 0.2234
- E_form (meV/atom) = -50
- total magnetic moment (μB/cell) = 0.0
- energy (eV per atom) = -4.179

---

This record from the Alexandria database describes an optimized crystal structure of Li4AgRu. The functional is GGA-PBEsol.

Structure (POSCAR):
```
Li4AgRu
1.0
-4.7950 -0.0087 0.1873
-2.2365 -0.7317 4.1821
-2.3240 3.6108 2.1420
Ag Li Ru
1 4 1
direct
0.0000 0.0000 0.0000
0.3764 0.3764 0.3764
0.3764 0.3764 0.8707
0.8707 0.3764 0.3764
0.3764 0.8707 0.3764
0.7500 0.7500 0.7500
```

Values from the calculation:
- DOS at the Fermi energy (states/eV/atom) = 0.9181
- E_form (meV/atom) = 311
- total magnetic moment (μB/cell) = 0.2
- energy (eV per atom) = -3.248